No. 1
Material: Ce8As4PS3
Method: DFT, GGA-PBE
State: optimized geometry

V: 24.98 Å³ per atom
space-group type: R-3m
electronic total energy: -6.9096 eV per atom
magnetic moment: 6.08 μB/f.u.
Fermi-level density of states: 2.59 states/eV per atom

abc: 8.2751 8.2609 8.2750
angles: 120.06 120.00 90.00
Each line ends with the local moment (μB).
Element x y z (fractional)
As (0.5000, 0.0000, 0.5000)  -0.03
As (0.0000, 0.0000, 0.0000)  -0.03
As (0.5000, 0.0000, 0.0000)  -0.03
As (0.0000, 0.0000, 0.5000)  -0.03
Ce (0.2519, 0.2586, 0.0053)  0.64
Ce (0.7481, 0.7414, 0.9947)  0.64
Ce (0.7473, 0.7419, 0.4946)  0.70
Ce (0.2466, 0.7414, 0.9947)  0.64
Ce (0.2527, 0.2581, 0.5054)  0.70
Ce (0.7533, 0.2586, 0.5067)  0.64
Ce (0.2467, 0.7414, 0.4933)  0.64
Ce (0.7534, 0.2586, 0.0053)  0.64
S (0.5000, 0.5000, 0.0000)  -0.03
S (0.5000, 0.5000, 0.5000)  -0.03
S (0.0000, 0.5000, 0.5000)  -0.03
P (0.0000, 0.5000, 0.0000)  -0.03

No. 2
Material: Ce4AsP2S
Method: DFT, GGA-PBE
State: optimized geometry

V: 24.60 Å³ per atom
space-group type: P2/m
electronic total energy: -7.0409 eV per atom
magnetic moment: 2.87 μB/f.u.
Fermi-level density of states: 2.20 states/eV per atom

abc: 4.1131 7.1315 7.1151
angles: 70.53 90.00 90.00
Each line ends with the local moment (μB).
Element x y z (fractional)
P (0.5000, 0.0000, 0.5000)  -0.03
P (0.0000, 0.0000, 0.0000)  -0.03
Ce (0.0000, 0.2431, 0.2554)  0.58
Ce (0.0000, 0.7569, 0.7446)  0.58
Ce (0.5000, 0.2449, 0.7488)  0.66
Ce (0.5000, 0.7551, 0.2512)  0.66
S (0.0000, 0.5000, 0.5000)  -0.03
As (0.5000, 0.5000, 0.0000)  -0.03

No. 3
Material: Ce8As4P3S
Method: DFT, GGA-PBE
State: optimized geometry

V: 25.34 Å³ per atom
space-group type: R-3m
electronic total energy: -6.9337 eV per atom
magnetic moment: 5.85 μB/f.u.
Fermi-level density of states: 2.35 states/eV per atom

abc: 8.3038 8.3120 8.3040
angles: 119.97 120.00 90.00
Each line ends with the local moment (μB).
Element x y z (fractional)
As (0.5000, 0.0000, 0.0000)  0.03
As (0.5000, 0.0000, 0.5000)  0.03
As (0.0000, 0.0000, 0.0000)  0.03
As (0.0000, 0.0000, 0.5000)  0.03
Ce (0.2540, 0.2582, 0.0061)  -0.65
Ce (0.7521, 0.2582, 0.0061)  -0.65
Ce (0.2529, 0.2587, 0.5058)  -0.59
Ce (0.7521, 0.2582, 0.5042)  -0.65
Ce (0.2479, 0.7418, 0.9939)  -0.65
Ce (0.2479, 0.7418, 0.4958)  -0.65
Ce (0.7471, 0.7413, 0.4942)  -0.59
Ce (0.7460, 0.7418, 0.9939)  -0.65
P (0.5000, 0.5000, 0.0000)  0.03
P (0.0000, 0.5000, 0.5000)  0.03
P (0.5000, 0.5000, 0.5000)  0.03
S (0.0000, 0.5000, 0.0000)  0.03

No. 4
Material: Ce6As2PS3
Method: DFT, GGA-PBE
State: optimized geometry

V: 24.44 Å³ per atom
space-group type: C2/m
electronic total energy: -6.9749 eV per atom
magnetic moment: 4.35 μB/f.u.
Fermi-level density of states: 2.52 states/eV per atom

abc: 4.1101 8.1974 9.1627
angles: 102.56 102.96 90.00
Each line ends with the local moment (μB).
Element x y z (fractional)
Ce (0.9978, 0.2469, 0.9955)  0.64
Ce (0.3355, 0.4114, 0.6709)  0.62
Ce (0.3342, 0.9232, 0.6685)  0.62
Ce (0.0022, 0.7531, 0.0045)  0.64
Ce (0.6645, 0.5886, 0.3291)  0.62
Ce (0.6658, 0.0768, 0.3315)  0.62
S (0.5000, 0.5000, 0.0000)  -0.02
S (0.8324, 0.1661, 0.6649)  -0.02
S (0.1676, 0.8339, 0.3351)  -0.02
As (0.8335, 0.6666, 0.6670)  -0.02
As (0.1665, 0.3334, 0.3330)  -0.02
P (0.5000, 0.0000, 0.0000)  -0.03

No. 5
Material: Ce6AsP3S2
Method: DFT, GGA-PBE
State: optimized geometry

V: 24.29 Å³ per atom
space-group type: C2/m
electronic total energy: -7.0743 eV per atom
magnetic moment: 4.15 μB/f.u.
Fermi-level density of states: 2.28 states/eV per atom

abc: 4.0958 8.1910 9.1581
angles: 102.96 102.92 90.00
Each line ends with the local moment (μB).
Element x y z (fractional)
P (0.8340, 0.1677, 0.6679)  -0.03
P (0.1660, 0.8323, 0.3321)  -0.03
P (0.5000, 0.5000, 0.0000)  -0.03
Ce (0.0000, 0.7434, 0.0000)  0.52
Ce (0.6661, 0.5844, 0.3321)  0.67
Ce (0.0000, 0.2566, 0.0000)  0.52
Ce (0.3308, 0.9170, 0.6616)  0.60
Ce (0.6692, 0.0830, 0.3384)  0.60
Ce (0.3339, 0.4156, 0.6679)  0.67
S (0.1673, 0.3340, 0.3346)  -0.02
S (0.8327, 0.6660, 0.6654)  -0.02
As (0.5000, 0.0000, 0.0000)  -0.02

No. 6
Material: Ce6Sb3AsP2
Method: DFT, GGA-PBE
State: optimized geometry

V: 28.30 Å³ per atom
space-group type: C2/m
electronic total energy: -6.5198 eV per atom
magnetic moment: 4.48 μB/f.u.
Fermi-level density of states: 2.70 states/eV per atom

abc: 4.2777 8.6851 9.6777
angles: 104.07 102.77 90.00
Each line ends with the local moment (μB).
Element x y z (fractional)
As (0.5000, 0.0000, 0.0000)  -0.03
P (0.1673, 0.3340, 0.3346)  -0.03
P (0.8327, 0.6660, 0.6654)  -0.03
Ce (0.0073, 0.2418, 0.0145)  0.65
Ce (0.6727, 0.5684, 0.3455)  0.68
Ce (0.6637, 0.1006, 0.3274)  0.66
Ce (0.3273, 0.4316, 0.6545)  0.68
Ce (0.3363, 0.8994, 0.6726)  0.66
Ce (0.9927, 0.7582, 0.9855)  0.65
Sb (0.8349, 0.1671, 0.6698)  -0.03
Sb (0.1651, 0.8329, 0.3302)  -0.03
Sb (0.5000, 0.5000, 0.0000)  -0.03

No. 7
Material: Ce4Sb2AsP
Method: DFT, GGA-PBE
State: optimized geometry

V: 28.53 Å³ per atom
space-group type: P2/m
electronic total energy: -6.4834 eV per atom
magnetic moment: 3.02 μB/f.u.
Fermi-level density of states: 2.55 states/eV per atom

abc: 4.2928 7.5621 7.4408
angles: 70.88 90.00 90.00
Each line ends with the local moment (μB).
Element x y z (fractional)
Sb (0.5000, 0.0000, 0.5000)  -0.03
Sb (0.0000, 0.0000, 0.0000)  -0.03
P (0.0000, 0.5000, 0.5000)  -0.03
Ce (0.0000, 0.2714, 0.2472)  0.67
Ce (0.5000, 0.2742, 0.7377)  0.68
Ce (0.5000, 0.7258, 0.2623)  0.68
Ce (0.0000, 0.7286, 0.7528)  0.67
As (0.5000, 0.5000, 0.0000)  -0.03

No. 8
Material: Ce6SbAs3P2
Method: DFT, GGA-PBE
State: optimized geometry

V: 26.66 Å³ per atom
space-group type: C2/m
electronic total energy: -6.7294 eV per atom
magnetic moment: 4.31 μB/f.u.
Fermi-level density of states: 2.53 states/eV per atom

abc: 4.2171 8.4708 9.4324
angles: 102.77 102.92 90.00
Each line ends with the local moment (μB).
Element x y z (fractional)
P (0.1681, 0.3351, 0.3362)  -0.03
P (0.8319, 0.6649, 0.6638)  -0.03
Ce (0.6725, 0.0936, 0.3450)  0.64
Ce (0.9961, 0.7350, 0.9922)  0.59
Ce (0.3311, 0.4213, 0.6622)  0.68
Ce (0.0039, 0.2650, 0.0078)  0.59
Ce (0.6689, 0.5787, 0.3378)  0.68
Ce (0.3275, 0.9064, 0.6550)  0.64
As (0.1637, 0.8323, 0.3274)  -0.03
As (0.8363, 0.1677, 0.6726)  -0.03
As (0.5000, 0.5000, 0.0000)  -0.03
Sb (0.5000, 0.0000, 0.0000)  -0.03

No. 9
Material: Ce4SbAs2P
Method: DFT, GGA-PBE
State: optimized geometry

V: 27.33 Å³ per atom
space-group type: P2/m
electronic total energy: -6.6279 eV per atom
magnetic moment: 2.95 μB/f.u.
Fermi-level density of states: 2.64 states/eV per atom

abc: 4.2497 7.3666 7.4022
angles: 70.62 90.00 90.00
Each line ends with the local moment (μB).
Element x y z (fractional)
Ce (0.5000, 0.7588, 0.2350)  0.65
Ce (0.0000, 0.7499, 0.7616)  0.67
Ce (0.0000, 0.2501, 0.2384)  0.67
Ce (0.5000, 0.2412, 0.7650)  0.65
As (0.5000, 0.0000, 0.5000)  -0.03
As (0.0000, 0.0000, 0.0000)  -0.03
P (0.5000, 0.5000, 0.0000)  -0.03
Sb (0.0000, 0.5000, 0.5000)  -0.03

No. 10
Material: Ce6SbAs2P3
Method: DFT, GGA-PBE
State: optimized geometry

V: 26.19 Å³ per atom
space-group type: C2/m
electronic total energy: -6.8116 eV per atom
magnetic moment: 4.11 μB/f.u.
Fermi-level density of states: 2.33 states/eV per atom

abc: 4.1864 8.4285 9.4002
angles: 103.26 102.87 90.00
Each line ends with the local moment (μB).
Element x y z (fractional)
Ce (0.6734, 0.0813, 0.3468)  0.60
Ce (0.3349, 0.4126, 0.6699)  0.63
Ce (0.3266, 0.9187, 0.6532)  0.60
Ce (0.9986, 0.2680, 0.9972)  0.58
Ce (0.0014, 0.7320, 0.0028)  0.58
Ce (0.6651, 0.5874, 0.3301)  0.63
P (0.1653, 0.8319, 0.3306)  -0.03
P (0.5000, 0.5000, 0.0000)  -0.03
P (0.8347, 0.1681, 0.6694)  -0.03
As (0.1672, 0.3334, 0.3344)  -0.03
As (0.8328, 0.6666, 0.6656)  -0.03
Sb (0.5000, 0.0000, 0.0000)  -0.03